{
  "formula": "MnMoRh2I",
  "functional": "PBE",
  "state": "relaxed",
  "rho_g_cm3": 7.61,
  "space_group": "P4/mmm",
  "formation_energy_uncorrected_ev_per_atom": 1.7844,
  "lattice": [[-3.9489, 2.5926, -0.9194], [-2.4110, -3.8389, -0.4698], [-1.0417, 0.0793, 4.6978]],
  "species": ["I", "Mo", "Mn", "Rh", "Rh"],
  "fractional_positions": [[0.0000, 0.0000, 0.0000], [0.5000, 0.5000, 0.5000], [0.0000, 0.5000, 0.0000], [0.0000, 0.0000, 0.5000], [0.5000, 0.0000, 0.0000]]
}